1.
First-principles (PBE) data for an optimized crystal structure of LiCo2Ag, as listed in Alexandria via LeMat-Bulk.

Calculated values
Uncorrected energy, eV/f.u.: -18.1
Formation energy, kJ per mole of atoms: 21

a b c (Å): 2.607 2.607 8.502
angles (deg): 90.00 90.00 109.71
Fractional positions:
Co 0.000 0.000 0.026
Co 0.500 0.500 0.237
Li 0.000 0.000 0.484
Ag 0.500 0.500 0.754

=====

2.
First-principles (PBE) data for an optimized crystal structure of Te2WICl, as listed in Alexandria via LeMat-Bulk.

Calculated values
ΔE to the lowest computed polymorph, kJ/mol of atoms: 0.0
Uncorrected energy, eV/f.u.: -20.7
Raw formation energy, meV per atom: 378

a b c (Å): 5.251 5.251 5.539
angles (deg): 90.00 90.00 90.00
Fractional positions:
I 0.000 0.000 0.500
Cl 0.500 0.500 0.500
Te 0.500 0.000 0.000
Te 0.000 0.500 0.000
W 0.000 0.000 0.000

=====

3.
First-principles (PBE) data for an optimized crystal structure of BaGaIrS2, as listed in Alexandria via LeMat-Bulk.

Calculated values
Uncorrected energy, eV/f.u.: -21.8
Raw formation energy, meV per atom: 54

a b c (Å): 4.767 5.755 4.767
angles (deg): 90.00 90.00 90.00
Fractional positions:
Ga 0.500 0.500 0.500
S 0.000 0.000 0.500
S 0.500 0.000 0.000
Ir 0.000 0.000 0.000
Ba 0.000 0.500 0.000

=====

4.
First-principles (PBE) data for an optimized crystal structure of SrMnW, as listed in Alexandria via LeMat-Bulk.

Calculated values
ΔE to the lowest computed polymorph, kJ/mol of atoms: 19.7
Uncorrected energy, eV/f.u.: -21.1
Formation energy, kJ per mole of atoms: 88

a b c (Å): 3.944 3.944 5.368
angles (deg): 90.00 90.00 120.00
Fractional positions:
Sr 0.667 0.333 0.333
Mn 0.000 0.000 0.833
W 0.333 0.667 0.833

=====

5.
First-principles (PBE) data for an optimized crystal structure of TeAs2Pb, as listed in Alexandria via LeMat-Bulk.

Calculated values
ΔE to the lowest computed polymorph, kJ/mol of atoms: 17.4
Uncorrected energy, eV/f.u.: -15.7
Raw formation energy, meV per atom: 122

a b c (Å): 6.423 6.423 6.423
angles (deg): 147.97 128.89 61.61
Fractional positions:
As 0.813 0.313 0.500
As 0.973 0.973 0.000
Pb 0.486 0.486 0.000
Te 0.229 0.729 0.500

=====

6.
First-principles (PBE) data for an optimized crystal structure of InSbPb2Au4, as listed in Alexandria via LeMat-Bulk.

Calculated values
Uncorrected energy, eV/f.u.: -28.0
Raw formation energy, meV per atom: -72

a b c (Å): 3.897 6.950 7.679
angles (deg): 106.07 90.00 90.00
Fractional positions:
Au 0.000 0.746 0.234
Au 0.500 0.758 0.767
Au 0.000 0.254 0.766
Au 0.500 0.242 0.233
Pb 0.500 0.000 0.500
Pb 0.000 0.500 0.500
In 0.500 0.500 0.000
Sb 0.000 0.000 0.000

=====

7.
First-principles (PBE) data for an optimized crystal structure of TlRh2Br, as listed in Alexandria via LeMat-Bulk.

Calculated values
ΔE to the lowest computed polymorph, kJ/mol of atoms: 17.0
Uncorrected energy, eV/f.u.: -17.1
Raw formation energy, meV per atom: 414

a b c (Å): 3.301 3.301 6.752
angles (deg): 90.00 90.00 90.00
Fractional positions:
Rh 0.000 0.000 0.015
Rh 0.000 0.000 0.485
Tl 0.500 0.500 0.250
Br 0.500 0.500 0.750

=====

8.
First-principles (PBE) data for an optimized crystal structure of Rb4Tb3ZrTe8, as listed in Alexandria via LeMat-Bulk.

Calculated values
Uncorrected energy, eV/f.u.: -71.6
Raw formation energy, meV per atom: -1262

a b c (Å): 8.932 10.007 8.933
angles (deg): 116.51 120.00 90.00
Fractional positions:
Te 0.227 0.698 0.971
Te 0.266 0.297 0.532
Te 0.227 0.698 0.454
Te 0.773 0.302 0.546
Te 0.744 0.698 0.971
Te 0.256 0.302 0.029
Te 0.773 0.302 0.029
Te 0.734 0.703 0.468
Tb 0.500 0.500 0.500
Tb 0.500 0.500 0.000
Tb 0.000 0.500 0.500
Rb 0.500 0.000 0.000
Rb 0.000 0.000 0.500
Rb 0.000 0.000 0.000
Rb 0.500 0.000 0.500
Zr 0.000 0.500 0.000